Entry 1:
Material: LiBe3Sb
Method: DFT, GGA-PBEsol
State: relaxed

Cell lengths 4.0865, 4.0865, 4.0865 Å; angles 90.00, 90.00, 90.00 degrees
With the nearest neighbours (Å) after each atom.
Element x y z (fractional)
Li 0.0000 0.0000 0.0000  6 Be 2.04
Be 0.0000 0.0000 0.5000  2 Li 2.04
Be 0.0000 0.5000 0.0000  2 Li 2.04
Be 0.5000 0.0000 0.0000  2 Li 2.04
Sb 0.5000 0.5000 0.5000  12 Be 2.89

Magnetic moment (μB per cell): 0.00
Electronic total energy (eV/atom): -2.744
Fermi-level density of states (states/eV/cell): 2.0
Volume (Å³/f.u.): 68.2

Entry 2:
Material: LiBeSbTe2
Method: DFT, GGA-PBEsol
State: relaxed

Cell lengths 5.2324, 5.2324, 4.6386 Å; angles 90.00, 90.00, 90.00 degrees
With the nearest neighbours (Å) after each atom.
Element x y z (fractional)
Li 0.0000 0.0000 0.0000  8 Te 3.50, 4 Sb 3.70
Be 0.5000 0.5000 0.5000  2 Sb 2.32
Sb 0.5000 0.5000 0.0000  2 Be 2.32
Te 0.0000 0.5000 0.5000  2 Be 2.62
Te 0.5000 0.0000 0.5000  2 Be 2.62

Magnetic moment (μB per cell): 0.00
Fermi-level density of states (states/eV/cell): 2.8
Volume (Å³/f.u.): 127.0
ΔE to the lowest computed polymorph (eV/atom): 0.000

Entry 3:
Material: LiBeSbTe2
Method: DFT, GGA-PBEsol
State: relaxed

Cell lengths 5.0147, 5.0147, 4.7929 Å; angles 90.00, 90.00, 90.00 degrees
With the nearest neighbours (Å) after each atom.
Element x y z (fractional)
Li 0.0000 0.0000 0.0000  2 Sb 2.40, 4 Te 2.51
Be 0.5000 0.5000 0.5000  8 Te 3.47, 4 Sb 3.55
Sb 0.0000 0.0000 0.5000  2 Li 2.40
Te 0.0000 0.5000 0.0000  2 Li 2.51
Te 0.5000 0.0000 0.0000  2 Li 2.51

Magnetic moment (μB per cell): 0.00
Fermi-level density of states (states/eV/cell): 3.4
Volume (Å³/f.u.): 120.5
ΔE to the lowest computed polymorph (eV/atom): 0.562

Entry 4:
Material: LiScBe2
Method: DFT, GGA-PBEsol
State: relaxed

Cell lengths 2.7761, 2.7761, 7.1999 Å; angles 90.00, 90.00, 90.00 degrees
With the nearest neighbours (Å) after each atom.
Element x y z (fractional)
Li 0.0000 0.0000 0.0000  5 Be 2.63-2.71, 4 Li 2.78
Sc 0.5000 0.5000 0.3595  5 Be 2.73-2.87, 4 Sc 2.78
Be 0.0000 0.0000 0.6239  4 Be 2.19
Be 0.5000 0.5000 0.7577  4 Be 2.19

Magnetic moment (μB per cell): 0.16
Fermi-level density of states (states/eV/cell): 3.1
Volume (Å³/f.u.): 55.5
Energy of formation from the pure elements (eV/atom): 0.1910
ΔE to the lowest computed polymorph (eV/atom): 0.000

Entry 5:
Material: Li2ScBe
Method: DFT, GGA-PBEsol
State: relaxed

Cell lengths 3.9877, 3.9877, 7.8847 Å; angles 90.00, 90.00, 90.00 degrees
With the nearest neighbours (Å) after each atom.
Element x y z (fractional)
Li 0.0000 0.5000 0.2500  4 Be 2.80, 4 Sc 2.80, 4 Li 2.82
Li 0.0000 0.5000 0.7500  4 Be 2.80, 4 Sc 2.80, 4 Li 2.82
Li 0.5000 0.0000 0.2500  4 Be 2.80, 4 Sc 2.80, 4 Li 2.82
Li 0.5000 0.0000 0.7500  4 Be 2.80, 4 Sc 2.80, 4 Li 2.82
Sc 0.0000 0.0000 0.0000  8 Li 2.80, 4 Be 2.82
Sc 0.5000 0.5000 0.5000  8 Li 2.80, 4 Be 2.82
Be 0.0000 0.0000 0.5000  8 Li 2.80, 4 Sc 2.82
Be 0.5000 0.5000 0.0000  8 Li 2.80, 4 Sc 2.82

Magnetic moment (μB per cell): 0.00
Fermi-level density of states (states/eV/cell): 4.2
Volume (Å³/f.u.): 62.7
Energy of formation from the pure elements (eV/atom): 0.2659

Entry 6:
Material: LiScBe
Method: DFT, GGA-PBEsol
State: relaxed

Cell lengths 6.0460, 6.0460, 6.0460 Å; angles 90.00, 90.00, 90.00 degrees
With the nearest neighbours (Å) after each atom.
Element x y z (fractional)
Li 0.0000 0.0000 0.0000  4 Be 2.62
Li 0.0000 0.5000 0.5000  4 Be 2.62
Li 0.5000 0.0000 0.5000  4 Be 2.62
Li 0.5000 0.5000 0.0000  4 Be 2.62
Sc 0.0000 0.0000 0.5000  4 Be 2.62
Sc 0.0000 0.5000 0.0000  4 Be 2.62
Sc 0.5000 0.0000 0.0000  4 Be 2.62
Sc 0.5000 0.5000 0.5000  4 Be 2.62
Be 0.2500 0.2500 0.2500  4 Li 2.62, 4 Sc 2.62
Be 0.2500 0.7500 0.7500  4 Li 2.62, 4 Sc 2.62
Be 0.7500 0.2500 0.7500  4 Li 2.62, 4 Sc 2.62
Be 0.7500 0.7500 0.2500  4 Li 2.62, 4 Sc 2.62

Magnetic moment (μB per cell): 3.12
Fermi-level density of states (states/eV/cell): 19.0
Volume (Å³/f.u.): 55.3
Energy of formation from the pure elements (eV/atom): 0.5134